[1]
Material: HgPdRu2S
Method: DFT, PBE
State: relaxed

Unit cell a=5.0569 b=5.0569 c=4.9795 alpha=90.00 beta=90.00 gamma=90.00
Fractional coordinates of all 5 atoms:
Hg  0.0000  0.0000  0.0000
Pd  0.0000  0.0000  0.5000
Ru  0.0000  0.5000  0.0000
Ru  0.5000  0.0000  0.0000
S  0.5000  0.5000  0.5000

Calculated values
space-group type = P4/mmm
calculated volume = 127 Å³ per cell
raw formation energy = 2.050 eV per atom

[2]
Material: Hg2SbPdRu
Method: DFT, PBE
State: relaxed

Unit cell a=5.1633 b=5.1633 c=4.8330 alpha=90.00 beta=90.00 gamma=90.00
Fractional coordinates of all 5 atoms:
Hg  0.0000  0.5000  0.0000
Hg  0.5000  0.0000  0.0000
Sb  0.0000  0.0000  0.5000
Pd  0.5000  0.5000  0.5000
Ru  0.5000  0.5000  0.0000

Calculated values
space-group type = P4/mmm
calculated volume = 129 Å³ per cell
raw formation energy = 0.889 eV per atom

[3]
Material: HgPdRu2Se
Method: DFT, PBE
State: relaxed

Unit cell a=4.9801 b=4.9801 c=4.6642 alpha=90.00 beta=90.00 gamma=90.00
Fractional coordinates of all 5 atoms:
Hg  0.0000  0.0000  0.0000
Pd  0.5000  0.5000  0.5000
Ru  0.0000  0.5000  0.5000
Ru  0.5000  0.0000  0.5000
Se  0.5000  0.5000  0.0000

Calculated values
space-group type = P4/mmm
calculated volume = 116 Å³ per cell
raw formation energy = 1.407 eV per atom

[4]
Material: Tb4HgPdRu2
Method: DFT, PBE
State: relaxed

Unit cell a=8.6292 b=8.6292 c=8.6292 alpha=33.47 beta=33.47 gamma=33.47
Fractional coordinates of all 8 atoms:
Tb  0.1211  0.1211  0.1211
Tb  0.3720  0.3720  0.3720
Tb  0.6280  0.6280  0.6280
Tb  0.8789  0.8789  0.8789
Hg  0.5000  0.5000  0.5000
Pd  0.0000  0.0000  0.0000
Ru  0.2503  0.2503  0.2503
Ru  0.7497  0.7497  0.7497

Calculated values
space-group type = R-3m
calculated volume = 174 Å³ per cell
formation energy from the elements = -0.49 eV/atom

Question: Which of these has the lowest calculated volume?
Answer: HgPdRu2Se

Question: calculated volume of number 3 (HgPdRu2Se)?
Answer: 116 Å³ per cell